Record 1
Compound: Na3InAs2
Source: Alexandria via LeMat-Bulk
Functional: SCAN
Structure: PBEsol geometry

a b c (Å): 9.663 7.477 15.666
angles (deg): 90.00 92.95 90.00
Space group P2_1/c (No. 14)
One atom of each set of equivalent atoms:
Na: 0.061 0.011 0.395 (multiplicity 4)
Na: 0.116 0.153 0.046 (multiplicity 4)
Na: 0.178 0.509 0.362 (multiplicity 4)
Na: 0.313 0.032 0.649 (multiplicity 4)
Na: 0.373 0.152 0.297 (multiplicity 4)
Na: 0.433 0.526 0.606 (multiplicity 4)
In: 0.139 0.653 0.709 (multiplicity 4)
In: 0.375 0.641 0.958 (multiplicity 4)
As: 0.092 0.211 0.226 (multiplicity 4)
As: 0.152 0.737 0.540 (multiplicity 4)
As: 0.371 0.222 0.477 (multiplicity 4)
As: 0.379 0.742 0.793 (multiplicity 4)

## Properties
formation enthalpy at 0 K = -0.549 eV/atom
volume = 23.55 Å³ per atom
magnetization = 0.000 μB per cell
energy = -14.951 eV/atom

Record 2
Compound: Hf3HgI
Source: Alexandria via LeMat-Bulk
Functional: SCAN
Structure: PBEsol geometry

a b c (Å): 5.210 5.210 5.210
angles (deg): 90.00 90.00 90.00
Space group Pm-3m (No. 221)
One atom of each set of equivalent atoms:
Hf: 0.000 0.000 0.500 (multiplicity 3)
Hg: 0.000 0.000 0.000 (multiplicity 1)
I: 0.500 0.500 0.500 (multiplicity 1)

## Properties
formation energy (no corrections) = 1124 meV per atom
volume = 28.29 Å³ per atom
magnetization = 1.492 μB per cell
energy = -57.461 eV/atom

Record 3
Compound: YAs2Se
Source: Alexandria via LeMat-Bulk
Functional: SCAN
Structure: PBEsol geometry

a b c (Å): 6.937 6.937 6.937
angles (deg): 90.00 90.00 90.00
Space group F-43m (No. 216)
One atom of each set of equivalent atoms:
Y: 0.000 0.000 0.000 (multiplicity 4)
As: 0.000 0.000 0.500 (multiplicity 4)
As: 0.250 0.250 0.750 (multiplicity 4)
Se: 0.250 0.250 0.250 (multiplicity 4)

## Properties
formation energy (no corrections) = -436 meV per atom
volume = 20.86 Å³ per atom
magnetization = 0.000 μB per cell
energy = -22.512 eV/atom